# Er2ZrTe2N2 (GGA-PBE, optimized geometry)
data_Er2ZrTe2N2
_cell_length_a 8.968
_cell_length_b 8.968
_cell_length_c 8.968
_cell_angle_alpha 152.79
_cell_angle_beta 152.79
_cell_angle_gamma 38.87
_space_group_name_H-M_alt 'P 1'
_space_group_IT_number 1
loop_
_space_group_symop_operation_xyz
'x,y,z'
loop_
_atom_site_label
_atom_site_type_symbol
_atom_site_fract_x
_atom_site_fract_y
_atom_site_fract_z
Er1 Er 0.095 0.095 0.000
Er2 Er 0.905 0.905 0.000
Zr1 Zr 0.500 0.500 0.000
Te1 Te 0.324 0.324 0.000
Te2 Te 0.676 0.676 0.000
N1 N 0.000 0.500 0.500
N2 N 0.500 0.000 0.500
# **E_tot**: -49.98 eV per formula unit
# **N(E_F)**: 0.05 states/eV/cell
# **SG**: I4/mmm (139)



# ErThN (GGA-PBE, optimized geometry)
data_ErThN
_cell_length_a 3.671
_cell_length_b 3.671
_cell_length_c 4.744
_cell_angle_alpha 90.00
_cell_angle_beta 90.00
_cell_angle_gamma 90.00
_space_group_name_H-M_alt 'P 1'
_space_group_IT_number 1
loop_
_space_group_symop_operation_xyz
'x,y,z'
loop_
_atom_site_label
_atom_site_type_symbol
_atom_site_fract_x
_atom_site_fract_y
_atom_site_fract_z
Er1 Er 0.000 0.000 0.000
Th1 Th 0.500 0.500 0.500
N1 N 0.000 0.000 0.500
# **Excess energy over the best structure of this formula in the dataset**: 0.00 eV/f.u.
# **E_tot**: -23.43 eV per formula unit
# **N(E_F)**: 1.82 states/eV/cell
# **SG**: P4/mmm (123)



# ErTh5N6 (GGA-PBE, optimized geometry)
data_ErTh5N6
_cell_length_a 6.276
_cell_length_b 6.276
_cell_length_c 6.282
_cell_angle_alpha 99.57
_cell_angle_beta 99.57
_cell_angle_gamma 120.00
_space_group_name_H-M_alt 'P 1'
_space_group_IT_number 1
loop_
_space_group_symop_operation_xyz
'x,y,z'
loop_
_atom_site_label
_atom_site_type_symbol
_atom_site_fract_x
_atom_site_fract_y
_atom_site_fract_z
Er1 Er 0.000 0.000 0.000
Th1 Th 0.166 0.834 0.500
Th2 Th 0.333 0.667 0.000
Th3 Th 0.500 0.500 0.500
Th4 Th 0.667 0.333 0.000
Th5 Th 0.834 0.166 0.500
N1 N 0.081 0.406 0.242
N2 N 0.243 0.243 0.754
N3 N 0.406 0.081 0.242
N4 N 0.594 0.919 0.758
N5 N 0.757 0.757 0.246
N6 N 0.919 0.594 0.758
# **E_tot**: -110.59 eV per formula unit
# **N(E_F)**: 5.59 states/eV/cell
# **SG**: C2/m (12)



# ErThN (GGA-PBE, optimized geometry)
data_ErThN
_cell_length_a 3.526
_cell_length_b 3.526
_cell_length_c 6.209
_cell_angle_alpha 90.00
_cell_angle_beta 90.00
_cell_angle_gamma 120.00
_space_group_name_H-M_alt 'P 1'
_space_group_IT_number 1
loop_
_space_group_symop_operation_xyz
'x,y,z'
loop_
_atom_site_label
_atom_site_type_symbol
_atom_site_fract_x
_atom_site_fract_y
_atom_site_fract_z
Er1 Er 0.000 0.000 0.000
Th1 Th 0.667 0.333 0.550
N1 N 0.333 0.667 0.802
# **Excess energy over the best structure of this formula in the dataset**: 0.32 eV/f.u.
# **E_tot**: -23.12 eV per formula unit
# **N(E_F)**: 1.63 states/eV/cell
# **SG**: P3m1 (156)



# Er2ThN3 (GGA-PBE, optimized geometry)
data_Er2ThN3
_cell_length_a 6.989
_cell_length_b 6.989
_cell_length_c 8.458
_cell_angle_alpha 108.20
_cell_angle_beta 108.20
_cell_angle_gamma 28.61
_space_group_name_H-M_alt 'P 1'
_space_group_IT_number 1
loop_
_space_group_symop_operation_xyz
'x,y,z'
loop_
_atom_site_label
_atom_site_type_symbol
_atom_site_fract_x
_atom_site_fract_y
_atom_site_fract_z
Er1 Er 0.174 0.174 0.339
Er2 Er 0.326 0.326 0.160
Er3 Er 0.674 0.674 0.840
Er4 Er 0.826 0.826 0.661
Th1 Th 0.000 0.000 0.500
Th2 Th 0.500 0.500 0.000
N1 N 0.144 0.144 0.025
N2 N 0.196 0.196 0.638
N3 N 0.468 0.468 0.696
N4 N 0.532 0.532 0.304
N5 N 0.804 0.804 0.362
N6 N 0.856 0.856 0.975
# **E_tot**: -49.59 eV per formula unit
# **N(E_F)**: 3.83 states/eV/cell
# **SG**: C2/m (12)



# ErTh2N3 (GGA-PBE, optimized geometry)
data_ErTh2N3
_cell_length_a 6.209
_cell_length_b 6.209
_cell_length_c 6.227
_cell_angle_alpha 99.55
_cell_angle_beta 99.55
_cell_angle_gamma 120.02
_space_group_name_H-M_alt 'P 1'
_space_group_IT_number 1
loop_
_space_group_symop_operation_xyz
'x,y,z'
loop_
_atom_site_label
_atom_site_type_symbol
_atom_site_fract_x
_atom_site_fract_y
_atom_site_fract_z
Er1 Er 0.167 0.833 0.000
Er2 Er 0.833 0.167 0.000
Th1 Th 0.000 0.000 0.500
Th2 Th 0.333 0.667 0.500
Th3 Th 0.500 0.500 0.000
Th4 Th 0.667 0.333 0.500
N1 N 0.078 0.419 0.758
N2 N 0.239 0.239 0.238
N3 N 0.419 0.078 0.758
N4 N 0.581 0.922 0.242
N5 N 0.761 0.761 0.762
N6 N 0.922 0.581 0.242
# **E_tot**: -54.00 eV per formula unit
# **N(E_F)**: 4.80 states/eV/cell
# **SG**: C2/m (12)



# Er2ThN (GGA-PBE, optimized geometry)
data_Er2ThN
_cell_length_a 3.192
_cell_length_b 3.192
_cell_length_c 8.410
_cell_angle_alpha 90.00
_cell_angle_beta 90.00
_cell_angle_gamma 90.00
_space_group_name_H-M_alt 'P 1'
_space_group_IT_number 1
loop_
_space_group_symop_operation_xyz
'x,y,z'
loop_
_atom_site_label
_atom_site_type_symbol
_atom_site_fract_x
_atom_site_fract_y
_atom_site_fract_z
Er1 Er 0.000 0.000 0.167
Er2 Er 0.000 0.000 0.833
Th1 Th 0.500 0.500 0.500
N1 N 0.500 0.500 0.000
# **Excess energy over the best structure of this formula in the dataset**: 2.05 eV/f.u.
# **E_tot**: -25.61 eV per formula unit
# **N(E_F)**: 4.37 states/eV/cell
# **SG**: P4/mmm (123)



# ErTh3N (GGA-PBE, optimized geometry)
data_ErTh3N
_cell_length_a 5.076
_cell_length_b 5.076
_cell_length_c 5.076
_cell_angle_alpha 90.00
_cell_angle_beta 90.00
_cell_angle_gamma 90.00
_space_group_name_H-M_alt 'P 1'
_space_group_IT_number 1
loop_
_space_group_symop_operation_xyz
'x,y,z'
loop_
_atom_site_label
_atom_site_type_symbol
_atom_site_fract_x
_atom_site_fract_y
_atom_site_fract_z
Er1 Er 0.000 0.000 0.000
Th1 Th 0.000 0.500 0.500
Th2 Th 0.500 0.000 0.500
Th3 Th 0.500 0.500 0.000
N1 N 0.500 0.500 0.500
# **E_tot**: -38.22 eV per formula unit
# **N(E_F)**: 5.97 states/eV/cell
# **SG**: Pm-3m (221)